*a*
HoTm3Pb2 | GGA-PBE | relaxed

abc: 4.882 15.751 4.378
angles: 90.00 90.00 90.00
Space group Cmmm (No. 65)
One atom of each set of equivalent atoms:
1 Ho 0.000 0.000 0.000 [2 per cell]
2 Tm 0.000 0.174 0.500 [4 per cell]
3 Tm 0.000 0.500 0.500 [2 per cell]
4 Pb 0.000 0.348 0.000 [4 per cell]

Output
* DOS(E_F): 1.038 states/eV/atom
* V: 28.05 Å³/atom
* total magnetization: 0.006 μB/cell


*b*
HoTm3Pb2 | GGA-PBE | relaxed

abc: 4.526 4.526 8.427
angles: 90.00 90.00 90.00
Space group P-4m2 (No. 115)
One atom of each set of equivalent atoms:
1 Ho 0.000 0.000 0.000 [1 per cell]
2 Tm 0.000 0.500 0.339 [2 per cell]
3 Tm 0.500 0.500 0.000 [1 per cell]
4 Pb 0.000 0.500 0.713 [2 per cell]

Output
* DOS(E_F): 0.561 states/eV/atom
* V: 28.77 Å³/atom
* total magnetization: 0.000 μB/cell


Which is the most stable structure? *b* is the most stable.


*a*
Ho3TmPb4 | GGA-PBE | relaxed

abc: 11.095 6.378 6.378
angles: 90.00 90.00 90.00
Space group Pmn2_1 (No. 31)
One atom of each set of equivalent atoms:
1 Ho 0.000 0.000 0.000 [2 per cell]
2 Ho 0.250 0.251 0.251 [4 per cell]
3 Tm 0.000 0.500 0.500 [2 per cell]
4 Pb 0.000 0.000 0.500 [2 per cell]
5 Pb 0.000 0.500 0.000 [2 per cell]
6 Pb 0.250 0.249 0.751 [4 per cell]

Output
* DOS(E_F): 0.619 states/eV/atom
* V: 28.21 Å³/atom
* total magnetization: 0.000 μB/cell


*b*
Ho3TmPb4 | GGA-PBE | relaxed

abc: 6.751 11.593 6.293
angles: 90.00 90.00 90.00
Space group Pmn2_1 (No. 31)
One atom of each set of equivalent atoms:
1 Ho 0.000 0.143 0.000 [2 per cell]
2 Ho 0.249 0.354 0.609 [4 per cell]
3 Tm 0.000 0.852 0.724 [2 per cell]
4 Pb 0.000 0.109 0.507 [2 per cell]
5 Pb 0.000 0.885 0.219 [2 per cell]
6 Pb 0.247 0.377 0.110 [4 per cell]

Output
* DOS(E_F): 0.833 states/eV/atom
* V: 30.78 Å³/atom
* total magnetization: 0.000 μB/cell


Which is the most stable structure? *a* is the most stable.


*a*
Y2HoPb | GGA-PBE | relaxed

abc: 5.1965 5.1965 17.2737
angles: 90.00 90.00 120.00
Space group R3m (No. 160, hexagonal axes)
One atom of each set of equivalent atoms:
1 Y 0.0000 0.0000 0.0000 [3 per cell]
2 Y 0.0000 0.0000 0.2178 [3 per cell]
3 Ho 0.0000 0.0000 0.7823 [3 per cell]
4 Pb 0.0000 0.0000 0.5885 [3 per cell]

Output
* DOS(E_F): 1.307 states/eV/atom
* V: 33.66 Å³/atom
* total magnetization: 0.000 μB/cell


*b*
Y2HoPb | GGA-PBE | relaxed

abc: 3.5424 3.5424 36.0164
angles: 90.00 90.00 120.00
Space group R-3m (No. 166, hexagonal axes)
One atom of each set of equivalent atoms:
1 Y 0.0000 0.0000 0.0880 [6 per cell]
2 Ho 0.0000 0.0000 0.5000 [3 per cell]
3 Pb 0.0000 0.0000 0.0000 [3 per cell]

Output
* DOS(E_F): 1.122 states/eV/atom
* V: 32.62 Å³/atom
* total magnetization: 0.000 μB/cell


*c*
Y2HoPb | GGA-PBE | relaxed

abc: 4.880 4.880 4.834
angles: 90.00 90.00 90.00
Space group P4/mmm (No. 123)
One atom of each set of equivalent atoms:
1 Y 0.000 0.500 0.000 [2 per cell]
2 Ho 0.000 0.000 0.500 [1 per cell]
3 Pb 0.500 0.500 0.500 [1 per cell]

Output
* DOS(E_F): 1.423 states/eV/atom
* V: 28.78 Å³/atom
* total magnetization: 0.529 μB/cell


Which is the most stable structure? *c* is the most stable.